Entry 1:
# ZrCo3O

A geometry-optimized ZrCo3O structure (GGA-PBEsol, Alexandria).

Cell: 3.8291 3.8291 3.8291 Å, 90.00 90.00 90.00°
Positions (direct):
Zr1 0.0000 0.0000 0.0000
Co1 0.0000 0.5000 0.5000
Co2 0.5000 0.0000 0.5000
Co3 0.5000 0.5000 0.0000
O1 0.5000 0.5000 0.5000

Space-group type ... Pm-3m
N(E_F) ... 0.9937 states/eV/atom
Raw formation energy ... -0.308 eV per atom

=====

Entry 2:
# TaBe2Cd

A geometry-optimized TaBe2Cd structure (GGA-PBEsol, Alexandria).

Cell: 2.7952 3.8044 5.3870 Å, 90.00 90.00 90.00°
Positions (direct):
Ta1 0.0000 0.0000 0.0000
Be1 0.5000 0.5000 0.1955
Be2 0.5000 0.5000 0.8045
Cd1 0.5000 0.0000 0.5000

Formation energy from the elements ... 0.2427 eV per atom
Space-group type ... Pmmm
N(E_F) ... 0.4686 states/eV/atom

=====

Q: Which calculated volume values were calculated for the entries above? A: 56.1, 57.3, in Å³/f.u..
Q: Which total DFT energy (no corrections) values were calculated for the entries above? A: -39.09, -20.78, in eV/f.u..